[1]
{
  "formula": "CeScInPt",
  "functional": "PBE",
  "state": "optimized geometry",
  "crystal_system": "cubic",
  "rho_g_cm3": 8.9,
  "ef_ev_per_fu": -2.37,
  "dos_at_fermi_per_ev_fu": 6.70,
  "vol_a3_per_atom": 23.1,
  "lattice": [[-2.8141, 3.1175, -2.8426], [-5.0581, -0.3537, 0.0957], [-2.7555, 3.6444, 2.2009]],
  "species": ["In", "Sc", "Ce", "Pt"],
  "fractional_positions": [[0.2500, 0.2500, 0.2500], [0.5000, 0.5000, 0.5000], [0.0000, 0.0000, 0.0000], [0.7500, 0.7500, 0.7500]]
}

[2]
{
  "formula": "Ce2InSiPt6",
  "functional": "PBE",
  "state": "optimized geometry",
  "crystal_system": "cubic",
  "rho_g_cm3": 11.9,
  "dos_at_fermi_per_ev_fu": 16.93,
  "vol_a3_per_atom": 22.2,
  "raw_formation_energy_ev_per_atom": -0.3854,
  "lattice": [[6.7970, -0.0004, 0.0000], [0.0004, 6.7970, 0.0000], [3.3987, 3.3983, 4.8062]],
  "species": ["Ce", "Ce", "Pt", "Pt", "Pt", "Pt", "Pt", "Pt", "In", "Si"],
  "fractional_positions": [[0.7500, 0.2500, 0.5000], [0.2500, 0.7500, 0.5000], [0.7346, 0.7346, 0.0000], [0.2653, 0.2653, 0.4693], [0.2653, 0.7347, 0.0000], [0.7346, 0.7346, 0.5307], [0.2654, 0.2654, 0.0000], [0.7347, 0.2653, 0.0000], [0.0000, 0.0000, 0.0000], [0.5000, 0.5000, 0.0000]]
}

[3]
{
  "formula": "Ce3In2Si2Pt4",
  "functional": "PBE",
  "state": "optimized geometry",
  "crystal_system": "trigonal",
  "rho_g_cm3": 10.4,
  "dos_at_fermi_per_ev_fu": 10.89,
  "vol_a3_per_atom": 21.5,
  "raw_formation_energy_ev_per_atom": -0.9391,
  "lattice": [[4.4609, 0.0000, 0.0000], [-2.2304, 3.8633, 0.0000], [0.0000, 0.0000, 13.7308]],
  "species": ["Pt", "Pt", "Pt", "Pt", "Si", "Si", "Ce", "Ce", "Ce", "In", "In"],
  "fractional_positions": [[0.3333, 0.6667, 0.8718], [0.6667, 0.3333, 0.6456], [0.6667, 0.3333, 0.1282], [0.3333, 0.6667, 0.3544], [0.6667, 0.3333, 0.8510], [0.3333, 0.6667, 0.1490], [0.0000, 0.0000, 0.7357], [0.0000, 0.0000, 0.2643], [0.0000, 0.0000, 0.0000], [0.3333, 0.6667, 0.5608], [0.6667, 0.3333, 0.4392]]
}

[4]
{
  "formula": "Ce2InSi3Pt4",
  "functional": "PBE",
  "state": "optimized geometry",
  "crystal_system": "tetragonal",
  "rho_g_cm3": 11.1,
  "dos_at_fermi_per_ev_fu": 11.29,
  "vol_a3_per_atom": 18.9,
  "raw_formation_energy_ev_per_atom": -0.9632,
  "lattice": [[-0.3999, 0.2066, 4.1848], [-1.8147, -3.7977, 0.0141], [9.5526, -4.5604, 1.1381]],
  "species": ["In", "Pt", "Pt", "Pt", "Pt", "Ce", "Ce", "Si", "Si", "Si"],
  "fractional_positions": [[0.5000, 0.5000, 0.5000], [0.5000, 0.5000, 0.0000], [0.0000, 0.5000, 0.3464], [0.0000, 0.0000, 0.0000], [0.5000, 0.0000, 0.6536], [0.5000, 0.0000, 0.2399], [0.0000, 0.5000, 0.7601], [0.5000, 0.0000, 0.8758], [0.0000, 0.5000, 0.1242], [0.0000, 0.0000, 0.5000]]
}

[5]
{
  "formula": "TbCeInPt",
  "functional": "PBE",
  "state": "optimized geometry",
  "crystal_system": "cubic",
  "rho_g_cm3": 10.1,
  "ef_ev_per_fu": -2.47,
  "dos_at_fermi_per_ev_fu": 6.87,
  "vol_a3_per_atom": 25.0,
  "lattice": [[5.2101, 0.0000, 0.0000], [2.6050, 4.5120, 0.0000], [2.6050, 1.5040, 4.2540]],
  "species": ["Pt", "Ce", "In", "Tb"],
  "fractional_positions": [[0.0000, 0.0000, 0.0000], [0.2500, 0.2500, 0.2500], [0.5000, 0.5000, 0.5000], [0.7500, 0.7500, 0.7500]]
}

[6]
{
  "formula": "CeTlInPt",
  "functional": "PBE",
  "state": "optimized geometry",
  "crystal_system": "cubic",
  "rho_g_cm3": 11.7,
  "ef_ev_per_fu": -1.86,
  "dos_at_fermi_per_ev_fu": 5.95,
  "vol_a3_per_atom": 23.3,
  "lattice": [[5.0892, 0.0000, 0.0000], [2.5446, 4.4074, 0.0000], [2.5446, 1.4691, 4.1553]],
  "species": ["In", "Ce", "Tl", "Pt"],
  "fractional_positions": [[0.7500, 0.7500, 0.7500], [0.2500, 0.2500, 0.2500], [0.0000, 0.0000, 0.0000], [0.5000, 0.5000, 0.5000]]
}

[7]
{
  "formula": "CeZnInPt",
  "functional": "PBE",
  "state": "optimized geometry",
  "crystal_system": "cubic",
  "rho_g_cm3": 10.4,
  "ef_ev_per_fu": -2.48,
  "dos_at_fermi_per_ev_fu": 3.92,
  "vol_a3_per_atom": 20.6,
  "lattice": [[4.8841, 0.0000, 0.0000], [2.4421, 4.2298, 0.0000], [2.4421, 1.4099, 3.9879]],
  "species": ["Zn", "Pt", "Ce", "In"],
  "fractional_positions": [[0.2500, 0.2500, 0.2500], [0.7500, 0.7500, 0.7500], [0.5000, 0.5000, 0.5000], [0.0000, 0.0000, 0.0000]]
}

[8]
{
  "formula": "Ce2ZnInPt6",
  "functional": "PBE",
  "state": "optimized geometry",
  "crystal_system": "trigonal",
  "rho_g_cm3": 11.9,
  "ef_ev_per_fu": -6.93,
  "dos_at_fermi_per_ev_fu": 13.39,
  "vol_a3_per_atom": 22.7,
  "lattice": [[5.5770, 0.0764, 0.0704], [-0.1459, 8.7263, 2.3179], [2.6316, 5.9401, 6.2719]],
  "species": ["Pt", "Pt", "Pt", "Pt", "Pt", "Pt", "Zn", "In", "Ce", "Ce"],
  "fractional_positions": [[0.7431, 0.7554, 0.0123], [0.2450, 0.7554, 0.0124], [0.2568, 0.2446, 0.9877], [0.7550, 0.7427, 0.4895], [0.7550, 0.2446, 0.9876], [0.2450, 0.2573, 0.5105], [0.0000, 0.0000, 0.0000], [0.5000, 0.5000, 0.0000], [0.7032, 0.2971, 0.5939], [0.2968, 0.7029, 0.4061]]
}